Entry 1:
Material: CdSi2Rh
Method: DFT, PBE
State: relaxed

Summary:
Total energy ... -0.35326 Ry per atom
Total moment ... 0.00 μB/cell

The structure in POSCAR format:
```
CdSi2Rh
1.0
-1.029 -1.603 3.793
2.316 -2.350 -0.364
3.247 2.876 2.096
Si Cd Rh
2 1 1
Direct
0.000 0.750 0.495 Si
0.000 0.750 0.005 Si
0.500 0.250 0.250 Cd
0.500 0.750 0.750 Rh
```

***

Entry 2:
Material: NbInC3
Method: DFT, PBE
State: relaxed

Summary:
Energy relative to the lowest polymorph listed for this composition ... 0 meV per atom
DFT formation energy ... 1.807 eV/atom
Total moment ... 0.00 μB/cell

The structure in POSCAR format:
```
NbInC3
1.0
-1.272 2.027 -3.529
1.438 -3.235 -2.376
-3.807 -1.899 0.281
C Nb In
3 1 1
Direct
0.000 0.500 0.000 C
0.500 0.000 0.000 C
0.000 0.000 0.500 C
0.000 0.000 0.000 Nb
0.500 0.500 0.500 In
```

***

- Look up the total moment of the second one.
  0.00 μB/cell

***

- Which formula does entry 1 have?
  CdSi2Rh